(1)
VASP calculation (GGA-PBE) on a relaxed structure of Mg3VB.

Unit cell a=4.559 b=4.559 c=4.559 alpha=90.00 beta=90.00 gamma=90.00
Positions (direct):
Mg 0.000 0.000 0.500
Mg 0.000 0.500 0.000
Mg 0.500 0.000 0.000
V 0.500 0.500 0.500
B 0.000 0.000 0.000

## Properties
Fermi-level density of states: 1.23 states/eV/atom
formation energy: 0.66 eV/atom
crystal system: cubic
spin magnetization: 4.06 μB/f.u.
space-group type: Pm-3m, No. 221

(2)
VASP calculation (GGA-PBE) on a relaxed structure of LiCrRu2.

Unit cell a=2.617 b=2.617 c=8.733 alpha=90.00 beta=90.00 gamma=115.51
Positions (direct):
Li 0.000 0.000 0.000
Cr 0.000 0.000 0.500
Ru 0.500 0.500 0.263
Ru 0.500 0.500 0.737

## Properties
Fermi-level density of states: 1.20 states/eV/atom
formation energy: 0.21 eV/atom
crystal system: orthorhombic
spin magnetization: 0.00 μB/f.u.
space-group type: Cmmm, No. 65

(3)
VASP calculation (GGA-PBE) on a relaxed structure of CeNdTlPd.

Unit cell a=5.328 b=5.328 c=5.328 alpha=60.00 beta=60.00 gamma=60.00
Positions (direct):
Ce 0.000 0.000 0.000
Nd 0.500 0.500 0.500
Tl 0.250 0.250 0.250
Pd 0.750 0.750 0.750

## Properties
Fermi-level density of states: 2.33 states/eV/atom
formation energy: -0.38 eV/atom
crystal system: cubic
spin magnetization: 0.86 μB/f.u.
space-group type: F-43m, No. 216

(4)
VASP calculation (GGA-PBE) on a relaxed structure of SrMg3Pb2.

Unit cell a=9.595 b=9.595 c=8.951 alpha=116.33 beta=116.33 gamma=28.42
Positions (direct):
Sr 0.137 0.137 0.052
Sr 0.863 0.863 0.948
Mg 0.051 0.051 0.403
Mg 0.312 0.312 0.538
Mg 0.406 0.406 0.332
Mg 0.594 0.594 0.668
Mg 0.688 0.688 0.462
Mg 0.949 0.949 0.597
Pb 0.212 0.212 0.725
Pb 0.483 0.483 0.814
Pb 0.517 0.517 0.186
Pb 0.788 0.788 0.275

## Properties
Fermi-level density of states: 0.36 states/eV/atom
formation energy: -0.25 eV/atom
crystal system: monoclinic
spin magnetization: 0.00 μB/f.u.
space-group type: C2/m, No. 12

(5)
VASP calculation (GGA-PBE) on a relaxed structure of ZnSiIrRh.

Unit cell a=4.228 b=4.228 c=4.228 alpha=60.00 beta=60.00 gamma=60.00
Positions (direct):
Zn 0.000 0.000 0.000
Si 0.500 0.500 0.500
Ir 0.750 0.750 0.750
Rh 0.250 0.250 0.250

## Properties
Fermi-level density of states: 0.30 states/eV/atom
crystal system: cubic
spin magnetization: 0.00 μB/f.u.
energy relative to the elements, uncorrected: -0.52 eV/atom
space-group type: F-43m, No. 216

(6)
VASP calculation (GGA-PBE) on a relaxed structure of PmPaGaTc.

Unit cell a=5.005 b=5.005 c=5.005 alpha=60.00 beta=60.00 gamma=60.00
Positions (direct):
Pm 0.000 0.000 0.000
Pa 0.500 0.500 0.500
Ga 0.750 0.750 0.750
Tc 0.250 0.250 0.250

## Properties
Fermi-level density of states: 0.82 states/eV/atom
formation energy: -0.08 eV/atom
crystal system: cubic
spin magnetization: 0.00 μB/f.u.
space-group type: F-43m, No. 216

(7)
VASP calculation (GGA-PBE) on a relaxed structure of Pm2Al4IrRh3.

Unit cell a=4.299 b=4.299 c=10.026 alpha=90.00 beta=90.00 gamma=90.00
Positions (direct):
Pm 0.000 0.500 0.237
Pm 0.500 0.000 0.763
Al 0.000 0.000 0.500
Al 0.000 0.500 0.877
Al 0.500 0.000 0.123
Al 0.500 0.500 0.500
Ir 0.500 0.500 0.000
Rh 0.000 0.000 0.000
Rh 0.000 0.500 0.629
Rh 0.500 0.000 0.371

## Properties
Fermi-level density of states: 0.74 states/eV/atom
formation energy: -0.89 eV/atom
crystal system: tetragonal
spin magnetization: 0.00 μB/f.u.
space-group type: P-4m2, No. 115

(8)
VASP calculation (GGA-PBE) on a relaxed structure of B2C.

Unit cell a=7.188 b=7.188 c=4.653 alpha=104.30 beta=104.30 gamma=21.96
Positions (direct):
B 0.036 0.036 0.369
B 0.062 0.062 0.994
B 0.265 0.265 0.844
B 0.393 0.393 0.462
B 0.607 0.607 0.538
B 0.735 0.735 0.156
B 0.938 0.938 0.006
B 0.964 0.964 0.631
C 0.295 0.295 0.234
C 0.378 0.378 0.002
C 0.622 0.622 0.998
C 0.705 0.705 0.766

## Properties
Fermi-level density of states: 0.10 states/eV/atom
formation energy: 0.40 eV/atom
crystal system: monoclinic
spin magnetization: 0.00 μB/f.u.
space-group type: C2/m, No. 12

Question: Which of these has the highest Fermi-level density of states?
Answer: CeNdTlPd

Question: Number 4 is which compound?
Answer: SrMg3Pb2